Entry 1:
GaIrW3 | SCAN | PBEsol geometry

Unit cell a=4.448 b=4.448 c=4.448 alpha=90.00 beta=90.00 gamma=90.00
Space group Pm-3m (No. 221)
Unique sites:
Ga: 0.000 0.000 0.000 (multiplicity 1)
Ir: 0.500 0.500 0.500 (multiplicity 1)
W: 0.000 0.000 0.500 (multiplicity 3)

Output
Calculated formation energy, eV/f.u.: 9.93
Electronic total energy, eV per atom: -57.315
Magnetic moment, μB/cell: 0.00
DOS(E_F), states/eV/atom: 0.863

Entry 2:
BeH3Pd | SCAN | PBEsol geometry

Unit cell a=3.422 b=3.422 c=3.422 alpha=90.00 beta=90.00 gamma=90.00
Space group Pm-3m (No. 221)
Unique sites:
Be: 0.000 0.000 0.000 (multiplicity 1)
H: 0.000 0.500 0.500 (multiplicity 3)
Pd: 0.500 0.500 0.500 (multiplicity 1)

Output
Distance to the lowest polymorph of the same formula, eV per atom: 0.013
Electronic total energy, eV per atom: -9.010
Magnetic moment, μB/cell: 0.08
DOS(E_F), states/eV/atom: 0.178

Entry 3:
ScIr2Rh | SCAN | PBEsol geometry

Unit cell a=2.775 b=4.526 c=5.000 alpha=90.00 beta=104.09 gamma=90.00
Space group P2/m (No. 10)
Unique sites:
Sc: 0.000 0.000 0.000 (multiplicity 1)
Ir: 0.361 0.500 0.732 (multiplicity 2)
Rh: 0.500 0.000 0.500 (multiplicity 1)

Output
Calculated formation energy, eV/f.u.: -1.69
Electronic total energy, eV per atom: -47.973
Magnetic moment, μB/cell: 0.00
DOS(E_F), states/eV/atom: 0.893

Among the records above, which one has the highest electronic total energy?
BeH3Pd

Copy entry 3 word for word.
ScIr2Rh | SCAN | PBEsol geometry

Unit cell a=2.775 b=4.526 c=5.000 alpha=90.00 beta=104.09 gamma=90.00
Space group P2/m (No. 10)
Unique sites:
Sc: 0.000 0.000 0.000 (multiplicity 1)
Ir: 0.361 0.500 0.732 (multiplicity 2)
Rh: 0.500 0.000 0.500 (multiplicity 1)

Output
Calculated formation energy, eV/f.u.: -1.69
Electronic total energy, eV per atom: -47.973
Magnetic moment, μB/cell: 0.00
DOS(E_F), states/eV/atom: 0.893

Among the records above, which one has the highest magnetic moment?
BeH3Pd